# Nd2Ni5As3 (PBE-GGA, optimized geometry)
# formation energy from the elements = -6.36 eV per formula unit
# spin magnetization = 0.000 μB per formula unit
data_Nd2Ni5As3
_chemical_formula_sum 'Nd8 Ni20 As12'
_space_group_name_H-M_alt 'C m c 21'
_space_group_IT_number 36
_space_group_name_Hall 'C 2c -2'
_cell_length_a 4.053
_cell_length_b 24.125
_cell_length_c 7.098
_cell_angle_alpha 90.00
_cell_angle_beta 90.00
_cell_angle_gamma 90.00
loop_
_atom_site_label
_atom_site_type_symbol
_atom_site_fract_x
_atom_site_fract_y
_atom_site_fract_z
_atom_site_occupancy
Nd1 Nd 0.000 0.043 0.000 1
Nd2 Nd 0.000 0.336 0.879 1
Ni1 Ni 0.000 0.074 0.408 1
Ni2 Ni 0.000 0.210 0.817 1
Ni3 Ni 0.000 0.244 0.170 1
Ni4 Ni 0.000 0.354 0.327 1
Ni5 Ni 0.000 0.447 0.148 1
As1 As 0.000 0.120 0.682 1
As2 As 0.000 0.269 0.495 1
As3 As 0.000 0.465 0.808 1